[1]
This record from Alexandria via LeMat-Bulk describes LiSm3U3S8 after structural relaxation. The functional is PBE-GGA.

**Density**: 6.953 g/cm³

Geometry as extended XYZ:
```
15
Lattice="-7.4318 1.0308 -2.0237 4.5964 -4.5722 -4.2847 -2.2913 -2.4289 7.1793" Properties=species:S:1:pos:R:3 pbc="T T T"
Sm -1.4177 -1.7707 -3.1542
Sm 2.2982 -2.2861 -2.1423
Sm 0.0000 0.0000 0.0000
S -0.1430 -2.6673 -0.8309
S 1.0505 -6.0801 0.5487
S -1.2595 -3.7818 2.7023
S -2.6845 -5.5622 -0.4683
S -3.8672 -2.1885 -1.8314
S -4.9837 -3.3030 1.7018
S -6.1773 0.1099 0.3221
S -2.4422 -0.4081 1.3391
U -4.8616 -0.6990 2.5778
U -2.5634 -2.9851 0.4354
U 1.1525 -3.5005 1.4473
Li -1.1457 -1.2144 3.5896
```

***

[2]
This record from Alexandria via LeMat-Bulk describes LiSm2US5 after structural relaxation. The functional is PBE-GGA.

**Density**: 6.114 g/cm³

Geometry as extended XYZ:
```
18
Lattice="-1.2593 -3.2020 1.8942 8.3906 -0.9096 -0.0311 0.6724 5.8495 10.3351" Properties=species:S:1:pos:R:3 pbc="T T T"
Li 7.8273 0.3499 5.7954
Li 0.2791 4.0205 11.0538
S 1.7961 0.6506 6.3660
S 2.8953 2.3881 10.0338
S 5.0368 0.4665 4.1373
S 8.2686 2.0597 8.9791
S 5.6721 -1.8321 0.6741
S 0.7971 0.1597 0.8000
S -0.4241 0.0335 3.8467
S 2.7726 -1.7088 3.0268
S 4.9149 2.4364 7.3861
S 6.7629 -0.5413 7.6534
Sm 2.1504 3.4756 7.3049
Sm 5.7155 1.1865 9.8776
Sm 2.1525 1.1102 3.3078
Sm 5.5693 -2.4685 3.6019
U 4.3648 -0.1531 6.7151
U 3.1094 -0.9759 0.4176
```

***

[3]
This record from Alexandria via LeMat-Bulk describes LiSm2US6 after structural relaxation. The functional is PBE-GGA.

**Density**: 4.776 g/cm³

Geometry as extended XYZ:
```
10
Lattice="6.2162 0.0000 0.0000 0.0000 6.4249 0.0000 0.0000 0.0000 6.4249" Properties=species:S:1:pos:R:3 pbc="T T T"
S 1.0957 3.2125 3.2125
S 1.0548 0.0000 0.0000
S 4.5917 4.8825 4.8825
S 4.5917 1.5424 4.8825
S 4.5917 4.8825 1.5424
S 4.5917 1.5424 1.5424
Sm 0.0003 0.0000 3.2125
Sm 0.0003 3.2125 0.0000
Li 3.3748 0.0000 0.0000
U 3.7490 3.2125 3.2125
```

***

[4]
This record from Alexandria via LeMat-Bulk describes Li4Sm3US8 after structural relaxation. The functional is PBE-GGA.

**Density**: 4.753 g/cm³

Geometry as extended XYZ:
```
16
Lattice="7.9565 0.0000 0.0000 0.0000 7.7183 -0.1765 -3.9783 -3.9731 5.6288" Properties=species:S:1:pos:R:3 pbc="T T T"
Li 3.9783 0.0000 0.0000
Li -1.9891 -1.9866 2.8144
Li 0.0000 0.0000 0.0000
Li 1.9891 -1.9866 2.8144
S 0.0000 3.8498 2.6673
S 1.9543 5.8016 -0.0980
S 2.0239 -2.0564 5.5503
S 3.9783 3.8359 2.7066
S 3.9783 -0.1047 2.7850
S 0.0000 -0.0908 2.7457
S -2.0239 -2.0564 5.5503
S 6.0022 5.8016 -0.0980
Sm -1.9891 1.8726 2.7262
Sm 1.9891 1.8726 2.7262
Sm 3.9783 3.8591 -0.0882
U 0.0000 3.8591 -0.0882
```

***

[5]
This record from Alexandria via LeMat-Bulk describes LiSm2YS4 after structural relaxation. The functional is PBE-GGA.

**Density**: 5.036 g/cm³

Geometry as extended XYZ:
```
8
Lattice="-1.7479 3.4905 -0.5681 -4.5395 -2.9471 -4.1408 -2.3494 -0.1337 6.4072" Properties=species:S:1:pos:R:3 pbc="T T T"
S -2.5738 0.9734 0.2035
S -2.9512 -0.8565 3.8178
S -3.9377 -2.2243 -1.5513
S -6.0630 -0.5636 1.4949
Sm -3.4445 -1.5404 1.1332
Sm -2.0486 1.6784 2.9196
Y 0.0000 0.0000 0.0000
Li -3.1437 0.2717 -2.3544
```

***

[6]
This record from Alexandria via LeMat-Bulk describes LiSm4Y3S8 after structural relaxation. The functional is PBE-GGA.

**Density**: 5.388 g/cm³

Geometry as extended XYZ:
```
16
Lattice="-7.1781 2.4931 2.1133 0.6466 -3.9341 6.8373 5.5377 5.2216 -2.0685" Properties=species:S:1:pos:R:3 pbc="T T T"
Y -0.4969 1.8903 3.4411
Y -3.2657 -0.7205 4.4753
Y 3.0921 0.6437 2.3844
Sm -3.5890 1.2466 1.0567
Sm -0.8202 3.8573 0.0224
Sm 0.0000 0.0000 0.0000
Sm 2.7688 2.6108 -1.0342
S 1.4240 0.2430 4.5499
S 0.5896 4.1647 4.5724
S -2.1464 1.5268 5.6260
S 4.2392 2.8971 3.4979
S -2.4178 3.5376 2.3323
S -1.5834 -0.3841 2.3098
S -5.2330 0.8834 3.3842
S 1.1526 2.2538 1.2561
Li 0.3233 -1.9671 3.4187
```

***

[7]
This record from Alexandria via LeMat-Bulk describes LiSm2YS5 after structural relaxation. The functional is PBE-GGA.

**Density**: 4.812 g/cm³

Geometry as extended XYZ:
```
18
Lattice="-2.6012 -2.3364 -1.8400 5.9076 -5.3739 2.7143 -5.9426 -1.3948 10.1721" Properties=species:S:1:pos:R:3 pbc="T T T"
S -0.0040 -0.7036 0.8990
S -4.5324 -4.8612 8.3381
S -5.9543 -2.2708 7.0589
S -0.5181 -7.9054 6.5286
S 0.7998 -4.5013 4.5850
S -0.2995 -4.1818 1.4915
S -3.0038 -3.6559 4.6466
S -2.5910 -6.1437 11.4642
S 2.9121 -6.9296 4.6824
S -1.2896 -4.6776 7.7626
Li 1.6187 -7.0378 6.6482
Li -7.0115 -2.7144 9.1168
Sm -0.6193 -2.0333 3.4574
Sm 1.2132 -6.5552 2.3666
Sm -2.5661 -7.2007 8.5291
Sm -3.0745 -2.3681 7.3534
Y 1.8056 -2.5807 0.7244
Y -1.4906 -5.8318 5.2704
```

***

[8]
This record from Alexandria via LeMat-Bulk describes Li2SmZrS4 after structural relaxation. The functional is PBE-GGA.

**Density**: 4.079 g/cm³

Geometry as extended XYZ:
```
8
Lattice="3.7872 0.0000 0.0000 0.0000 6.6306 0.1240 0.0000 -2.3035 6.1777" Properties=species:S:1:pos:R:3 pbc="T T T"
S 1.8936 1.1967 1.6239
S 1.8936 3.1304 4.6778
S 0.0000 0.0248 4.6660
S 0.0000 4.3023 1.6358
Sm 0.0000 0.0000 0.0000
Zr 1.8936 3.3153 0.0620
Li 0.0000 2.1635 3.1509
Li 1.8936 -1.1517 3.0888
```

***

[9]
This record from Alexandria via LeMat-Bulk describes Li4Sm3ZrS8 after structural relaxation. The functional is PBE-GGA.

**Density**: 4.188 g/cm³

Geometry as extended XYZ:
```
16
Lattice="-3.6199 0.2136 -6.9194 -4.7035 -5.6134 2.2873 0.7503 6.5294 4.2189" Properties=species:S:1:pos:R:3 pbc="T T T"
Sm -4.1617 -2.6999 -2.3160
Sm -1.9766 0.4580 3.2531
Sm -3.7866 0.5648 -0.2065
S -6.3110 -3.9906 -3.5512
S -3.5213 2.1373 -2.5017
S -1.6462 1.9262 0.9207
S -5.9269 -0.7966 -1.3338
S -4.4068 -4.1029 0.0886
S -1.2621 5.1202 3.1381
S -3.1663 5.2325 -0.5017
S -4.0518 -1.0077 2.0886
Li -1.8099 0.1068 -3.4597
Li 0.3752 3.2647 2.1095
Li -1.4348 3.3715 -1.3502
Li 0.0000 0.0000 0.0000
Zr -2.3518 -2.8067 1.1437
```

***

[10]
This record from Alexandria via LeMat-Bulk describes LiSm2ZrS4 after structural relaxation. The functional is PBE-GGA.

**Density**: 5.387 g/cm³

Geometry as extended XYZ:
```
8
Lattice="-3.1552 -1.3439 1.7989 3.8789 -4.1526 3.7009 -0.6529 5.7238 3.1308" Properties=species:S:1:pos:R:3 pbc="T T T"
Zr 0.3619 -2.7483 2.7499
S 2.7497 -1.8046 3.4745
S -0.7836 -0.3744 2.5144
S 0.8544 0.6016 6.1163
S 0.4763 3.3758 3.3572
Sm 1.6130 0.7856 3.4159
Sm -1.9040 2.1900 2.4649
Li 0.0000 0.0000 0.0000
```

***

[11]
This record from Alexandria via LeMat-Bulk describes Li3Sm2ZrS6 after structural relaxation. The functional is PBE-GGA.

**Density**: 4.147 g/cm³

Geometry as extended XYZ:
```
12
Lattice="6.7167 -0.0045 0.0051 -3.3606 5.8156 0.0051 -1.1154 -1.9312 6.2028" Properties=species:S:1:pos:R:3 pbc="T T T"
S -1.0532 1.8278 1.5885
S -0.0557 -0.0965 4.6496
S 3.2940 2.0521 4.6245
S 2.2965 3.9763 1.5634
S 2.1095 0.0012 1.5885
S 0.1313 3.8787 4.6245
Sm 3.3685 1.9293 0.0051
Sm -0.0124 3.8819 0.0051
Zr 0.0000 0.0000 0.0000
Li 4.5676 -0.0510 3.1065
Li -2.3268 3.9308 3.1065
Li 1.1204 1.9399 3.1065
```

***

[12]
This record from Alexandria via LeMat-Bulk describes LiSmZrS4 after structural relaxation. The functional is PBE-GGA.

**Density**: 3.679 g/cm³

Geometry as extended XYZ:
```
14
Lattice="7.5838 0.0000 0.0000 3.7919 6.8719 0.0305 3.7919 2.1226 6.5360" Properties=species:S:1:pos:R:3 pbc="T T T"
S 7.5838 6.8599 4.7429
S 5.6909 5.8548 1.7812
S 5.6909 3.1397 4.7853
S 9.4768 5.8548 1.7812
S 9.4768 3.1397 4.7853
S 11.3758 6.8845 4.7608
S 7.5838 2.1346 1.8236
S 3.7919 2.1100 1.8057
Zr 1.8960 1.0613 3.2680
Zr 5.6879 1.0613 3.2680
Li 7.5838 4.4037 5.7081
Li 7.5838 4.5908 0.8584
Sm 3.7919 4.4972 3.2832
Sm 0.0000 0.0000 0.0000
```

***

Raw total energy for every record listed, in sequence, given in eV/atom: -7.190 -6.497 -6.092 -5.812 -6.223 -6.547 -6.180 -5.831 -5.670 -6.312 -5.726 -6.213.
Formation energy without anion corrections for every record listed, in sequence, given in eV/atom: -1.66 -1.69 -1.35 -1.68 -1.93 -1.97 -1.91 -1.63 -1.71 -1.76 -1.68 -1.69.